## CsDyVO4 (PBE with a Hubbard U)

Data for crystalline CsDyVO4 at its relaxed geometry.

Results
**Uncorrected energy**: -7.131 eV per atom
**SG**: P2_1/m, No. 11
**ρ**: 4.97 g/cm3
**Total magnetization**: 1.0 μB/f.u.

```
14
Lattice="5.969 0.000 0.000 0.000 5.998 0.000 -2.578 0.000 7.658" Properties=species:S:1:pos:R:3 pbc="T T T"
Cs 0.162 1.500 3.380
Cs 3.229 4.499 4.278
Dy -0.570 1.500 7.370
Dy 3.961 4.499 0.289
V 0.930 4.499 1.077
V 2.461 1.500 6.582
O -2.321 4.499 7.132
O -0.490 4.499 2.157
O 2.283 3.164 1.195
O 2.283 5.833 1.195
O 1.108 0.165 6.464
O 1.108 2.834 6.464
O 3.881 1.500 5.501
O 5.712 1.500 0.527
```